Pm2CuIr2: relaxed, PBE-GGA.

Unit cell a=5.6417 b=5.6417 c=8.0269 alpha=103.86 beta=103.86 gamma=58.42
Positions (direct):
Cu (0.8567, 0.1433, 0.2500)
Cu (0.1433, 0.8567, 0.7500)
Ir (0.9903, 0.2776, 0.0122)
Ir (0.7224, 0.0097, 0.4878)
Ir (0.2776, 0.9903, 0.5122)
Ir (0.0097, 0.7224, 0.9878)
Pm (0.5001, 0.7942, 0.1497)
Pm (0.2058, 0.4999, 0.3503)
Pm (0.7942, 0.5001, 0.6497)
Pm (0.4999, 0.2058, 0.8503)

Summary:
Its space group is No. 15. The calculation puts the mass density at 11.7 g/cm3. For the formation enthalpy at 0 K, the calculation gives -2.77 eV per formula unit.